A plane-wave DFT calculation with PBE-GGA was carried out for a relaxed BaSbPd2Pt2 crystal.

```
6
Lattice="-4.423 -0.460 -2.304 1.073 -4.765 -1.110 -2.683 -1.893 5.528" Properties=species:S:1:pos:R:3 pbc="T T T"
Ba -1.342 -0.946 2.764
Sb 0.000 0.000 0.000
Pd -3.806 -4.116 2.684
Pd -2.227 -3.001 -0.570
Pt -2.212 -0.230 -1.152
Pt 0.537 -2.382 -0.555
```

Summary:
Total energy = -28.62 eV for the cell shown
Symmetry = P4/mmm
DOS at the Fermi energy = 8.39 states/eV/cell

***

A plane-wave DFT calculation with PBE-GGA was carried out for a relaxed Ba2Sb3PdPt4 crystal.

```
10
Lattice="4.725 0.000 0.000 0.000 4.725 0.000 0.000 0.000 10.714" Properties=species:S:1:pos:R:3 pbc="T T T"
Ba 2.362 0.000 2.764
Ba 0.000 2.362 7.951
Sb 0.000 0.000 5.357
Sb 2.362 0.000 9.370
Sb 0.000 2.362 1.344
Pd 2.362 2.362 5.357
Pt 2.362 2.362 0.000
Pt 0.000 0.000 0.000
Pt 2.362 0.000 6.718
Pt 0.000 2.362 3.997
```

Summary:
Total energy = -52.80 eV for the cell shown
Symmetry = P-4m2
DOS at the Fermi energy = 5.03 states/eV/cell

***

A plane-wave DFT calculation with PBE-GGA was carried out for a relaxed Ba2Sb4Pd3Pt crystal.

```
10
Lattice="-3.933 2.654 0.781 -1.539 -0.971 -4.451 -5.168 -8.744 3.695" Properties=species:S:1:pos:R:3 pbc="T T T"
Ba -3.287 -0.908 1.335
Ba -4.616 -6.995 0.526
Sb -2.736 0.841 -1.835
Sb 0.000 0.000 0.000
Sb -5.182 -4.114 2.690
Sb -2.721 -3.788 -0.830
Pd -2.584 -4.372 1.848
Pd -6.493 -6.332 3.627
Pd -1.410 -1.570 -1.767
Pt -5.320 -3.531 0.013
```

Summary:
Total energy = -49.90 eV for the cell shown
Symmetry = P-4m2
DOS at the Fermi energy = 5.72 states/eV/cell

***

A plane-wave DFT calculation with PBE-GGA was carried out for a relaxed BaSi2Pd2Pt crystal.

```
6
Lattice="-0.530 -0.059 4.622 0.602 -4.613 0.010 6.028 0.788 0.701" Properties=species:S:1:pos:R:3 pbc="T T T"
Ba 3.014 0.394 0.351
Si -0.265 -0.029 2.311
Si 0.301 -2.307 0.005
Pd 4.694 -1.727 2.858
Pd 1.405 -2.157 2.475
Pt 0.000 0.000 0.000
```

Summary:
Total energy = -31.61 eV for the cell shown
Symmetry = P4/mmm
DOS at the Fermi energy = 3.47 states/eV/cell

***

Number 1: magnetization 0.00 Bohr magnetons per cell. Number 2: magnetization 0.00 Bohr magnetons per cell. Number 3: magnetization 0.00 Bohr magnetons per cell. Number 4: magnetization 0.00 Bohr magnetons per cell.